# 1
ReIrW2 (meta-GGA SCAN, single point on PBEsol structure); energy of formation = 0.1195 eV per atom
1.0
1.380 0.797 9.138
-1.380 0.797 9.138
0.000 -1.593 9.138
Re Ir W
1 1 2
Cartesian
0.000 0.000 0.000 Re
0.000 0.000 13.707 Ir
0.000 0.000 6.828 W
0.000 0.000 20.587 W

***

# 2
Cs2NaFeOs (meta-GGA SCAN, single point on PBEsol structure); energy of formation = 1.1551 eV per atom
1.0
6.733 0.000 0.000
0.000 6.733 0.000
0.000 0.000 4.414
Cs Na Fe Os
2 1 1 1
Cartesian
0.000 3.366 0.000 Cs
3.366 0.000 0.000 Cs
0.000 0.000 2.207 Na
3.366 3.366 2.207 Fe
3.366 3.366 0.000 Os

***

# 3
LiZn2Ag (meta-GGA SCAN, single point on PBEsol structure); energy of formation = -0.1562 eV per atom
1.0
3.712 0.000 0.000
0.000 3.807 0.000
0.000 0.000 4.058
Li Zn Ag
1 2 1
Cartesian
0.000 0.000 0.000 Li
0.000 1.903 2.029 Zn
1.856 0.000 2.029 Zn
1.856 1.903 0.000 Ag

***

# 4
Cd2HgPb (meta-GGA SCAN, single point on PBEsol structure); offset from the most stable computed form = 21.6 meV/atom; energy of formation = 0.0673 eV per atom
1.0
-2.262 2.262 4.623
2.262 -2.262 4.623
2.262 2.262 -4.623
Cd Hg Pb
2 1 1
Cartesian
0.000 0.000 0.000 Cd
0.000 2.262 2.312 Cd
0.000 0.000 4.623 Hg
2.262 0.000 2.312 Pb

***

# 5
NiMo2Se (meta-GGA SCAN, single point on PBEsol structure); raw formation energy = 0.22 eV/atom
1.0
2.950 0.000 0.000
0.000 2.950 0.000
0.000 0.000 6.383
Ni Mo Se
1 2 1
Cartesian
0.000 0.000 0.000 Ni
1.475 1.475 1.581 Mo
1.475 1.475 4.802 Mo
0.000 0.000 3.191 Se

***

# 6
TcPbNO2 (meta-GGA SCAN, single point on PBEsol structure); raw formation energy = 0.87 eV/atom
1.0
4.123 0.000 0.000
0.000 4.123 0.000
0.000 0.000 4.286
Tc Pb N O
1 1 1 2
Cartesian
0.000 0.000 0.000 Tc
2.062 2.062 2.143 Pb
2.062 2.062 0.000 N
0.000 2.062 2.143 O
2.062 0.000 2.143 O

***

# 7
AlCdOs2 (meta-GGA SCAN, single point on PBEsol structure); offset from the most stable computed form = 57.6 meV/atom; energy of formation = 0.2744 eV per atom
1.0
2.765 0.000 0.000
0.000 3.807 0.000
0.000 0.000 5.901
Al Cd Os
1 1 2
Cartesian
0.000 0.000 0.000 Al
0.000 0.000 2.951 Cd
1.383 1.903 1.227 Os
1.383 1.903 4.674 Os

***

# 8
Tb6CoBr10 (meta-GGA SCAN, single point on PBEsol structure); raw formation energy = -1.73 eV/atom
1.0
7.188 0.000 0.000
-2.347 8.549 0.000
-1.125 -3.208 8.363
Tb Co Br
6 1 10
Cartesian
-0.732 0.492 3.444 Tb
-0.675 3.859 2.110 Tb
0.356 3.265 5.679 Tb
3.360 2.076 2.684 Tb
4.391 1.481 6.253 Tb
4.447 4.848 4.919 Tb
-1.736 2.670 4.181 Co
-1.795 6.426 2.706 Br
0.790 1.559 1.232 Br
-0.592 1.922 8.036 Br
-0.578 5.740 6.476 Br
1.840 0.821 4.904 Br
1.876 4.520 3.459 Br
4.294 -0.399 1.886 Br
4.307 3.419 0.327 Br
2.925 3.781 7.131 Br
5.511 -1.085 5.657 Br

***

# 9
Te2IrBr (meta-GGA SCAN, single point on PBEsol structure); raw formation energy = 0.73 eV/atom; offset from the most stable computed form = 1050.5 meV/atom
1.0
5.151 0.000 0.000
0.000 5.151 0.000
0.000 0.000 3.134
Te Ir Br
2 1 1
Cartesian
0.000 2.575 0.000 Te
2.575 0.000 0.000 Te
0.000 0.000 1.567 Ir
2.575 2.575 1.567 Br

***

# 10
ZnCrTe2 (meta-GGA SCAN, single point on PBEsol structure); raw formation energy = -0.11 eV/atom
1.0
1.988 1.148 7.955
-1.988 1.148 7.955
0.000 -2.296 7.955
Zn Cr Te
1 1 2
Cartesian
0.000 0.000 0.000 Zn
0.000 0.000 11.932 Cr
0.000 0.000 2.566 Te
0.000 0.000 21.299 Te

***

# 11
Ta3W (meta-GGA SCAN, single point on PBEsol structure); energy of formation = -0.0675 eV per atom
1.0
-1.612 2.300 4.600
1.612 -2.300 4.600
1.612 2.300 -4.600
Ta W
3 1
Cartesian
0.000 0.000 0.000 Ta
1.612 0.000 2.374 Ta
0.000 2.300 2.225 Ta
0.000 0.000 4.600 W

***

# 12
LiLa2Cl (meta-GGA SCAN, single point on PBEsol structure); raw formation energy = -0.46 eV/atom
1.0
3.645 0.000 0.000
0.000 4.843 0.000
0.000 0.000 5.950
Li La Cl
1 2 1
Cartesian
0.000 0.000 0.000 Li
0.000 2.422 2.975 La
1.823 2.422 0.000 La
1.823 0.000 2.975 Cl

***

no.,raw total energy (eV per cell),size of the total moment (μB/cell)
1,-281.1,0.0
2,-164.1,3.5
3,-61.4,0.0
4,-204.5,0.0
5,-105.1,0.0
6,-128.3,4.0
7,-180.8,0.0
8,-521.9,1.1
9,-162.1,0.0
10,-106.9,3.7
11,-269.7,0.0
12,-98.4,1.2